{
  "formula": "HfHgAsBr2",
  "functional": "GGA-PBE",
  "state": "optimized geometry",
  "de_polymorph_mev_per_atom": 1220,
  "energy_ev_per_atom": -2.85,
  "e_form_raw_ev_per_atom": 0.796,
  "cell": [[5.288, 0.000, 0.000], [0.000, 5.288, 0.000], [0.000, 0.000, 5.380]],
  "species": ["Hf", "Hg", "As", "Br", "Br"],
  "fractional_positions": [[0.000, 0.000, 0.000], [0.500, 0.500, 0.500], [0.500, 0.500, 0.000], [0.000, 0.500, 0.500], [0.500, 0.000, 0.500]]
}

{
  "formula": "CaBiH",
  "functional": "GGA-PBE",
  "state": "optimized geometry",
  "de_polymorph_mev_per_atom": 20,
  "energy_ev_per_atom": -3.52,
  "cell": [[12.619, 0.000, 0.000], [0.000, 3.592, 0.000], [-0.395, 0.000, 6.002]],
  "species": ["Ca", "Ca", "Ca", "Ca", "Bi", "Bi", "Bi", "Bi", "H", "H", "H", "H"],
  "fractional_positions": [[0.139, 0.000, 0.352], [0.361, 0.500, 0.648], [0.639, 0.500, 0.352], [0.861, 0.000, 0.648], [0.093, 0.500, 0.852], [0.407, 0.000, 0.148], [0.593, 0.000, 0.852], [0.907, 0.500, 0.148], [0.231, 0.500, 0.372], [0.269, 0.000, 0.628], [0.731, 0.000, 0.372], [0.769, 0.500, 0.628]]
}

{
  "formula": "AgPdCl3",
  "functional": "GGA-PBE",
  "state": "optimized geometry",
  "de_polymorph_mev_per_atom": 650,
  "energy_ev_per_atom": -2.50,
  "e_form_raw_ev_per_atom": 0.213,
  "cell": [[4.996, 0.000, 0.000], [0.000, 4.996, 0.000], [0.000, 0.000, 4.996]],
  "species": ["Ag", "Pd", "Cl", "Cl", "Cl"],
  "fractional_positions": [[0.000, 0.000, 0.000], [0.500, 0.500, 0.500], [0.000, 0.000, 0.500], [0.000, 0.500, 0.000], [0.500, 0.000, 0.000]]
}

{
  "formula": "NdThOsCl",
  "functional": "GGA-PBE",
  "state": "optimized geometry",
  "energy_ev_per_atom": -7.16,
  "e_form_raw_ev_per_atom": -0.842,
  "cell": [[4.127, 0.000, 0.000], [-2.063, 3.574, 0.000], [0.000, 0.000, 23.237]],
  "species": ["Nd", "Nd", "Nd", "Th", "Th", "Th", "Os", "Os", "Os", "Cl", "Cl", "Cl"],
  "fractional_positions": [[0.000, 0.000, 0.000], [0.333, 0.667, 0.667], [0.667, 0.333, 0.333], [0.000, 0.000, 0.797], [0.333, 0.667, 0.463], [0.667, 0.333, 0.130], [0.000, 0.000, 0.403], [0.333, 0.667, 0.070], [0.667, 0.333, 0.737], [0.000, 0.000, 0.231], [0.333, 0.667, 0.898], [0.667, 0.333, 0.565]]
}

{
  "formula": "AuBr2Cl",
  "functional": "GGA-PBE",
  "state": "optimized geometry",
  "de_polymorph_mev_per_atom": 463,
  "energy_ev_per_atom": -1.83,
  "e_form_raw_ev_per_atom": 0.288,
  "cell": [[3.357, 0.000, 0.000], [-1.678, 2.907, 0.000], [0.000, 0.000, 34.868]],
  "species": ["Au", "Au", "Au", "Br", "Br", "Br", "Br", "Br", "Br", "Cl", "Cl", "Cl"],
  "fractional_positions": [[0.000, 0.000, 0.000], [0.333, 0.667, 0.667], [0.667, 0.333, 0.333], [0.000, 0.000, 0.069], [0.000, 0.000, 0.931], [0.333, 0.667, 0.597], [0.333, 0.667, 0.736], [0.667, 0.333, 0.264], [0.667, 0.333, 0.403], [0.000, 0.000, 0.500], [0.333, 0.667, 0.167], [0.667, 0.333, 0.833]]
}

{
  "formula": "Sr4Zn2Pd",
  "functional": "GGA-PBE",
  "state": "optimized geometry",
  "energy_ev_per_atom": -2.23,
  "cell": [[5.993, 0.000, 0.000], [0.000, 5.993, 0.000], [0.000, 0.000, 15.204]],
  "species": ["Sr", "Sr", "Sr", "Sr", "Sr", "Sr", "Sr", "Sr", "Zn", "Zn", "Zn", "Zn", "Pd", "Pd"],
  "fractional_positions": [[0.000, 0.000, 0.198], [0.000, 0.000, 0.802], [0.000, 0.500, 0.000], [0.000, 0.500, 0.500], [0.500, 0.000, 0.000], [0.500, 0.000, 0.500], [0.500, 0.500, 0.302], [0.500, 0.500, 0.698], [0.000, 0.000, 0.411], [0.000, 0.000, 0.589], [0.500, 0.500, 0.089], [0.500, 0.500, 0.911], [0.000, 0.000, 0.000], [0.500, 0.500, 0.500]]
}

{
  "formula": "MgAlPd",
  "functional": "GGA-PBE",
  "state": "optimized geometry",
  "energy_ev_per_atom": -4.00,
  "cell": [[6.113, 0.000, 0.000], [0.000, 6.113, 0.000], [0.000, 0.000, 6.113]],
  "species": ["Mg", "Mg", "Mg", "Mg", "Al", "Al", "Al", "Al", "Pd", "Pd", "Pd", "Pd"],
  "fractional_positions": [[0.000, 0.000, 0.000], [0.000, 0.500, 0.500], [0.500, 0.000, 0.500], [0.500, 0.500, 0.000], [0.000, 0.000, 0.500], [0.000, 0.500, 0.000], [0.500, 0.000, 0.000], [0.500, 0.500, 0.500], [0.250, 0.250, 0.250], [0.250, 0.750, 0.750], [0.750, 0.250, 0.750], [0.750, 0.750, 0.250]]
}

{
  "formula": "Pm4MnSn8",
  "functional": "GGA-PBE",
  "state": "optimized geometry",
  "energy_ev_per_atom": -5.18,
  "cell": [[4.456, 0.000, 0.000], [0.000, 4.527, 0.000], [0.000, 0.000, 17.258]],
  "species": ["Pm", "Pm", "Pm", "Pm", "Mn", "Sn", "Sn", "Sn", "Sn", "Sn", "Sn", "Sn", "Sn"],
  "fractional_positions": [[0.000, 0.000, 0.000], [0.000, 0.500, 0.487], [0.500, 0.000, 0.788], [0.500, 0.500, 0.291], [0.000, 0.500, 0.707], [0.000, 0.000, 0.325], [0.000, 0.000, 0.626], [0.000, 0.500, 0.144], [0.000, 0.500, 0.857], [0.500, 0.000, 0.148], [0.500, 0.000, 0.444], [0.500, 0.500, 0.624], [0.500, 0.500, 0.972]]
}

{
  "formula": "Co2MoRu",
  "functional": "GGA-PBE",
  "state": "optimized geometry",
  "de_polymorph_mev_per_atom": 223,
  "energy_ev_per_atom": -8.35,
  "cell": [[5.938, 0.000, 0.000], [0.000, 5.938, 0.000], [0.000, 0.000, 5.938]],
  "species": ["Co", "Co", "Co", "Co", "Co", "Co", "Co", "Co", "Mo", "Mo", "Mo", "Mo", "Ru", "Ru", "Ru", "Ru"],
  "fractional_positions": [[0.000, 0.000, 0.000], [0.000, 0.500, 0.500], [0.250, 0.250, 0.250], [0.250, 0.750, 0.750], [0.500, 0.000, 0.500], [0.500, 0.500, 0.000], [0.750, 0.250, 0.750], [0.750, 0.750, 0.250], [0.250, 0.250, 0.750], [0.250, 0.750, 0.250], [0.750, 0.250, 0.250], [0.750, 0.750, 0.750], [0.000, 0.000, 0.500], [0.000, 0.500, 0.000], [0.500, 0.000, 0.000], [0.500, 0.500, 0.500]]
}

{
  "formula": "Cs2ErCuCl6",
  "functional": "GGA-PBE",
  "state": "optimized geometry",
  "de_polymorph_mev_per_atom": 0,
  "energy_ev_per_atom": -3.96,
  "e_form_raw_ev_per_atom": -1.819,
  "cell": [[-4.011, 4.011, 4.841], [4.011, -4.011, 4.841], [4.011, 4.011, -4.841]],
  "species": ["Cs", "Cs", "Er", "Cu", "Cl", "Cl", "Cl", "Cl", "Cl", "Cl"],
  "fractional_positions": [[0.250, 0.750, 0.500], [0.750, 0.250, 0.500], [0.000, 0.000, 0.000], [0.500, 0.500, 0.000], [0.230, 0.230, 0.459], [0.230, 0.770, 0.000], [0.274, 0.274, 0.000], [0.726, 0.726, 0.000], [0.770, 0.230, 0.000], [0.770, 0.770, 0.541]]
}